Density functional theory data (GGA-PBE) for crystalline BC at its relaxed geometry.

The value obtained for the energy of formation from the pure elements is 65 kJ/mol of formula units. For the raw total energy, the calculation gives -15.2 eV/f.u. The space group is P3m1, No. 156. The energy above the most stable polymorph in this dataset is 183 meV/atom. As for the mass density: 2.01 g/cm3.

```
12
Lattice="-0.4929 -0.2129 2.6362 -1.7752 -0.9548 -1.7818 8.3314 -15.9872 0.2669" Properties=species:S:1:pos:R:3 pbc="T T T"
C -1.1626 -1.0628 -0.3032
C 3.6101 -6.9274 0.1157
C 0.6978 -3.5653 1.2154
C 3.3459 -9.7142 -0.1588
C 5.5041 -12.7882 1.3694
C 3.9931 -10.9563 -0.1380
B 0.2668 -3.8057 -0.2574
B 0.1838 -0.3527 0.0059
B 2.6175 -7.2490 1.2769
B 4.7482 -11.3377 1.3452
B 4.3660 -8.3779 0.1399
B 6.4965 -12.4663 0.2081
```

Density functional theory data (GGA-PBE) for crystalline B7C5 at its relaxed geometry.

The value obtained for the energy of formation from the pure elements is 454 kJ/mol of formula units. For the raw total energy, the calculation gives -88.2 eV/f.u. The space group is Pm, No. 6. The energy above the most stable polymorph in this dataset is 228 meV/atom. As for the mass density: 2.67 g/cm3.

```
12
Lattice="2.6588 0.0000 0.0000 0.0000 4.6909 -0.0793 0.0000 -0.1131 6.7648" Properties=species:S:1:pos:R:3 pbc="T T T"
C 0.0000 1.4327 3.9880
C 1.3294 0.7143 4.4320
C 1.3294 3.8999 3.9441
C 1.3294 2.1931 1.7218
C 0.0000 0.0063 6.7020
B 0.0000 3.1475 6.1478
B 0.0000 1.7852 2.4328
B 1.3294 3.7403 2.3129
B 0.0000 4.5583 1.3892
B 1.3294 2.4159 0.2084
B 0.0000 3.0744 4.2081
B 1.3294 0.4424 6.0086
```

Density functional theory data (GGA-PBE) for crystalline B7C5 at its relaxed geometry.

The value obtained for the energy of formation from the pure elements is 437 kJ/mol of formula units. For the raw total energy, the calculation gives -88.3 eV/f.u. The space group is Cm, No. 8. The energy above the most stable polymorph in this dataset is 213 meV/atom. As for the mass density: 2.73 g/cm3.

```
12
Lattice="3.8081 0.0127 -5.5924 -0.7987 2.6422 -7.1293 0.6293 -0.1069 7.6183" Properties=species:S:1:pos:R:3 pbc="T T T"
B 0.6203 0.8228 2.7950
B 2.1028 0.6899 -2.8485
B 1.8206 2.1735 -3.7923
B 0.8655 0.1899 6.1609
B 3.3429 1.7668 -8.0023
B 2.1457 2.5576 -5.6711
B 2.9186 2.5712 -12.3195
C 2.0612 1.2540 1.0583
C 0.1852 2.0698 -3.8209
C 0.5682 1.1179 1.2468
C 1.9106 0.3853 -1.3356
C 2.3690 1.5600 -0.4216
```